# HfTcNiB

A relaxed structure of HfTcNiB (PBE, OQMD).

The space group is F-43m (No. 216) and the conventional cell measures 5.917, 5.917 and 5.917 Å, with angles of 90.00, 90.00 and 90.00 degrees. The asymmetric unit holds Hf at (0.000, 0.000, 0.000), Tc at (0.000, 0.000, 0.500), Ni at (0.250, 0.250, 0.750) and B at (0.250, 0.250, 0.250).

Its spin magnetization is 0.0 μB/cell. The value obtained for the total energy is -8.121 eV/atom. The polymorph energy (0 for the lowest one) comes out at 0.000 eV/atom.